# 1
Pr4BPBr2 | GGA-PBE | optimized geometry

Raw total energy, eV/atom: -5.46
Crystal system: monoclinic
Density, g/cm³: 5.80
Size of the total moment, μB per cell: 0.00

Structure (CIF):
```
data_Pr4BPBr2
_cell_length_a 4.1155
_cell_length_b 7.1409
_cell_length_c 7.8204
_cell_angle_alpha 107.59
_cell_angle_beta 90.00
_cell_angle_gamma 90.00
_symmetry_space_group_name_H-M 'P 1'
_symmetry_Int_Tables_number 1
loop_
_symmetry_equiv_pos_as_xyz
'x,y,z'
loop_
_atom_site_label
_atom_site_fract_x
_atom_site_fract_y
_atom_site_fract_z
Pr1 0.5000 0.2153 0.1950
Pr2 0.5000 0.7847 0.8050
B1 0.0000 0.0000 0.0000
Br1 0.5000 0.0000 0.5000
P1 0.5000 0.5000 0.0000
Pr3 0.0000 0.2520 0.8004
Br2 0.0000 0.5000 0.5000
Pr4 0.0000 0.7480 0.1996
```


# 2
Tb2HoHg | GGA-PBE | optimized geometry

Crystal system: cubic
Density, g/cm³: 10.17
Size of the total moment, μB per cell: 0.00
Energy relative to the elements, meV per atom: -56
Offset from the most stable computed form, meV per atom: 168

Structure (CIF):
```
data_Tb2HoHg
_cell_length_a 5.4037
_cell_length_b 5.4037
_cell_length_c 5.4037
_cell_angle_alpha 60.00
_cell_angle_beta 60.00
_cell_angle_gamma 60.00
_symmetry_space_group_name_H-M 'P 1'
_symmetry_Int_Tables_number 1
loop_
_symmetry_equiv_pos_as_xyz
'x,y,z'
loop_
_atom_site_label
_atom_site_fract_x
_atom_site_fract_y
_atom_site_fract_z
Ho1 0.0000 0.0000 0.0000
Hg1 0.5000 0.5000 0.5000
Tb1 0.7500 0.7500 0.7500
Tb2 0.2500 0.2500 0.2500
```


Q: Look up the size of the total moment of the first one.
A: 0.00 μB per cell